Record 1
Below is an optimized crystal structure of Pr7NdSm4, with properties calculated at the PBE level.

POSCAR file:
```
Pr7NdSm4
1.0
6.437 0.000 0.000
-0.002 7.410 0.000
-2.147 -0.008 8.931
Pr Nd Sm
7 1 4
Cartesian
0.000 0.000 0.000 Pr
-0.008 3.698 5.956 Pr
1.086 5.567 2.981 Pr
3.216 1.841 0.008 Pr
1.072 5.561 8.923 Pr
3.203 1.835 5.950 Pr
4.296 3.703 2.975 Pr
-0.001 3.705 0.000 Nd
-0.020 7.402 5.955 Sm
1.080 1.839 2.967 Sm
3.209 5.563 5.964 Sm
4.309 0.000 2.976 Sm
```

For the polymorph energy (0 for the lowest one), the calculation gives 0 meV/atom. The value obtained for the formation energy is 12 meV/atom. As for the total magnetization: 0.00 μB/f.u.

***

Record 2
Below is an optimized crystal structure of Pr4Nd2Sm, with properties calculated at the PBE level.

POSCAR file:
```
Pr4Nd2Sm
1.0
6.253 -5.910 0.000
6.253 5.910 0.000
-1.513 0.000 7.008
Pr Nd Sm
8 4 2
Cartesian
4.002 2.966 4.344 Pr
2.002 0.000 5.137 Pr
2.734 0.000 1.867 Pr
6.992 2.966 2.664 Pr
4.002 -2.966 4.344 Pr
8.260 0.000 5.141 Pr
8.992 0.000 1.871 Pr
6.992 -2.966 2.664 Pr
3.127 2.955 0.000 Nd
3.127 -2.955 0.000 Nd
6.253 0.000 0.000 Nd
5.497 0.000 3.504 Nd
0.000 0.000 0.000 Sm
-0.756 0.000 3.504 Sm
```

For the polymorph energy (0 for the lowest one), the calculation gives 248 meV/atom. The value obtained for the formation energy is 255 meV/atom. As for the total magnetization: 0.00 μB/f.u.

***

Record 3
Below is an optimized crystal structure of PrNd4Sm5, with properties calculated at the PBE level.

POSCAR file:
```
PrNd4Sm5
1.0
10.808 0.000 0.000
0.000 10.808 0.000
0.000 0.000 5.926
Pr Nd Sm
2 8 10
Cartesian
2.702 2.702 0.780 Pr
8.106 8.106 5.146 Pr
0.496 8.106 5.127 Nd
2.702 5.900 0.799 Nd
2.702 10.311 0.799 Nd
4.908 8.106 5.127 Nd
5.900 2.702 0.799 Nd
8.106 0.496 5.127 Nd
8.106 4.908 5.127 Nd
10.311 2.702 0.799 Nd
0.931 0.931 3.973 Sm
0.931 4.472 3.973 Sm
2.702 8.106 2.963 Sm
4.472 0.931 3.973 Sm
4.472 4.472 3.973 Sm
6.335 6.335 1.953 Sm
6.335 9.876 1.953 Sm
8.106 2.702 2.963 Sm
9.876 6.335 1.953 Sm
9.876 9.876 1.953 Sm
```

For the polymorph energy (0 for the lowest one), the calculation gives 3 meV/atom. The value obtained for the formation energy is 177 meV/atom. As for the total magnetization: 0.00 μB/f.u.